# TlPb5 (PBE, optimized geometry)
# **Spin magnetization**: 0.0000 μB/atom
# **Mass density**: 10.95 Mg/m³
# **Final energy**: -3.496 eV per atom
data_TlPb5
_chemical_formula_sum 'Tl1 Pb5'
_cell_length_a 3.6215
_cell_length_b 3.6215
_cell_length_c 14.3487
_cell_angle_alpha 90.00
_cell_angle_beta 90.00
_cell_angle_gamma 90.00
_space_group_name_H-M_alt 'P 4/m m m'
_space_group_IT_number 123
_space_group_name_Hall '-P 4 2'
loop_
_atom_site_label
_atom_site_fract_x
_atom_site_fract_y
_atom_site_fract_z
Tl1 0.0000 0.0000 0.0000
Pb1 0.0000 0.0000 0.3320
Pb2 0.5000 0.5000 0.1694
Pb3 0.5000 0.5000 0.5000

***

# Tl8Pb3 (PBE, optimized geometry)
# **Spin magnetization**: 0.0000 μB/atom
# **Mass density**: 9.81 Mg/m³
# **Final energy**: -2.568 eV per atom
data_Tl8Pb3
_chemical_formula_sum 'Tl24 Pb9'
_cell_length_a 10.2552
_cell_length_b 10.2552
_cell_length_c 12.5846
_cell_angle_alpha 90.00
_cell_angle_beta 90.00
_cell_angle_gamma 120.00
_space_group_name_H-M_alt 'R -3'
_space_group_IT_number 148
_space_group_name_Hall '-R 3'
loop_
_atom_site_label
_atom_site_fract_x
_atom_site_fract_y
_atom_site_fract_z
Tl1 0.0000 0.0000 0.1236
Tl2 0.0063 0.2083 0.6069
Pb1 0.0000 0.5000 0.5000

***

# TlPb2 (PBE, optimized geometry)
# **Spin magnetization**: 0.0000 μB/atom
# **Mass density**: 10.96 Mg/m³
# **Final energy**: -3.270 eV per atom
data_TlPb2
_chemical_formula_sum 'Tl4 Pb8'
_cell_length_a 11.6695
_cell_length_b 3.5961
_cell_length_c 9.8263
_cell_angle_alpha 90.00
_cell_angle_beta 114.58
_cell_angle_gamma 90.00
_space_group_name_H-M_alt 'C 1 m 1'
_space_group_IT_number 8
loop_
_space_group_symop_operation_xyz
'x,y,z'
'x,-y,z'
'x+1/2,y+1/2,z'
'x+1/2,-y+1/2,z'
loop_
_atom_site_label
_atom_site_fract_x
_atom_site_fract_y
_atom_site_fract_z
Tl1 0.0000 0.0000 0.0000
Tl2 0.1694 0.5000 0.3338
Pb1 0.0020 0.0000 0.5013
Pb2 0.1685 0.5000 0.8345
Pb3 0.3352 0.0000 0.1679
Pb4 0.3347 0.0000 0.6669